## SmHgRhPb (PBE-GGA)

Data for an optimized crystal structure of SmHgRhPb.

extended XYZ file:
```
4
Lattice="0.0000 3.5856 3.5856 3.5856 0.0000 3.5856 3.5856 3.5856 0.0000" Properties=species:S:1:pos:R:3 pbc="T T T"
Sm 0.0000 0.0000 0.0000
Hg 1.7928 1.7928 1.7928
Rh 5.3784 5.3784 5.3784
Pb 3.5856 3.5856 3.5856
```

DFT formation energy (eV/atom): -0.31

=====

## NdPuTi (PBE-GGA)

Data for an optimized crystal structure of NdPuTi.

extended XYZ file:
```
6
Lattice="-1.7082 1.7082 13.4481 1.7082 -1.7082 13.4481 1.7082 1.7082 -13.4481" Properties=species:S:1:pos:R:3 pbc="T T T"
Nd 0.0000 0.0000 1.7780
Nd 0.0000 0.0000 25.1183
Pu 0.0000 0.0000 9.2172
Pu 0.0000 0.0000 17.6791
Ti 0.0000 0.0000 6.0188
Ti 0.0000 0.0000 20.8775
```

DFT formation energy (eV/atom): 0.25

=====

## GaI4 (PBE-GGA)

Data for an optimized crystal structure of GaI4.

extended XYZ file:
```
10
Lattice="3.5584 -6.2370 0.0000 3.5584 6.2370 0.0000 -1.0293 0.0000 11.8603" Properties=species:S:1:pos:R:3 pbc="T T T"
Ga 3.5584 4.0835 0.0000
Ga 3.5584 -4.0835 0.0000
I 1.2442 2.2274 10.2145
I 1.0199 0.0000 1.6015
I 2.4065 0.0000 4.7113
I 1.2442 -2.2274 10.2145
I 4.8434 2.2274 1.6458
I 3.6811 0.0000 7.1490
I 5.0676 0.0000 10.2588
I 4.8434 -2.2274 1.6458
```

E_form (uncorrected) (eV/atom): -0.26
Relative energy among the computed polymorphs (eV/atom): 0.000

=====

Number 1: electronic total energy -4.331 eV per atom, total magnetic moment 0.000 μB per atom. Number 2: electronic total energy -8.747 eV per atom, total magnetic moment 1.718 μB per atom. Number 3: electronic total energy -2.103 eV per atom, total magnetic moment 0.000 μB per atom.